No. 1
A relaxed structure of TlZnFe2, computed with PBE-GGA.

Computed properties:
Volume in Å³ per cell: 191.0
Energy of formation in eV per formula unit: 2.16
Symmetry: R-3m (166)
E above lowest polymorph in meV per atom: 248
Energy in eV per cell: -55.20

a = 2.909 Å, b = 2.909 Å, c = 26.060 Å
α = 90.00°, β = 90.00°, γ = 120.00°
Positions (direct):
1 Tl 0.000 0.000 0.000
2 Tl 0.333 0.667 0.667
3 Tl 0.667 0.333 0.333
4 Zn 0.000 0.000 0.500
5 Zn 0.333 0.667 0.167
6 Zn 0.667 0.333 0.833
7 Fe 0.000 0.000 0.244
8 Fe 0.000 0.000 0.756
9 Fe 0.333 0.667 0.423
10 Fe 0.333 0.667 0.911
11 Fe 0.667 0.333 0.089
12 Fe 0.667 0.333 0.577

---

No. 2
A relaxed structure of Nd8SmN6, computed with PBE-GGA.

Computed properties:
Volume in Å³ per cell: 322.0
Symmetry: R-3 (148)
Formation energy without anion corrections in meV/atom: -1105
Energy in eV per cell: -109.39

a = 9.980 Å, b = 9.980 Å, c = 9.980 Å
α = 36.96°, β = 36.96°, γ = 36.96°
Positions (direct):
1 Nd 0.065 0.398 0.732
2 Nd 0.167 0.167 0.167
3 Nd 0.268 0.935 0.602
4 Nd 0.398 0.732 0.065
5 Nd 0.602 0.268 0.935
6 Nd 0.732 0.065 0.398
7 Nd 0.833 0.833 0.833
8 Nd 0.935 0.602 0.268
9 Sm 0.500 0.500 0.500
10 N 0.114 0.774 0.444
11 N 0.226 0.556 0.886
12 N 0.444 0.114 0.774
13 N 0.556 0.886 0.226
14 N 0.774 0.444 0.114
15 N 0.886 0.226 0.556

---

No. 3
A relaxed structure of Ho2H4CO7, computed with PBE-GGA.

Computed properties:
Volume in Å³ per cell: 586.0
Symmetry: P2_1/c (14)
Energy in eV per cell: -383.69

a = 6.307 Å, b = 6.012 Å, c = 15.581 Å
α = 90.00°, β = 97.30°, γ = 90.00°
Positions (direct):
1 Ho 0.081 0.239 0.318
2 Ho 0.081 0.261 0.818
3 Ho 0.086 0.248 0.064
4 Ho 0.086 0.252 0.564
5 Ho 0.914 0.748 0.436
6 Ho 0.914 0.752 0.936
7 Ho 0.919 0.739 0.182
8 Ho 0.919 0.761 0.682
9 H 0.269 0.665 0.080
10 H 0.269 0.835 0.580
11 H 0.313 0.527 0.447
12 H 0.313 0.973 0.947
13 H 0.318 0.002 0.197
14 H 0.318 0.498 0.697
15 H 0.324 0.541 0.214
16 H 0.324 0.959 0.714
17 H 0.676 0.041 0.286
18 H 0.676 0.459 0.786
19 H 0.682 0.502 0.303
20 H 0.682 0.998 0.803
21 H 0.687 0.027 0.053
22 H 0.687 0.473 0.553
23 H 0.731 0.165 0.420
24 H 0.731 0.335 0.920
25 C 0.406 0.575 0.883
26 C 0.406 0.925 0.383
27 C 0.594 0.075 0.617
28 C 0.594 0.425 0.117
29 O 0.118 0.630 0.061
30 O 0.118 0.870 0.561
31 O 0.165 0.033 0.189
32 O 0.165 0.467 0.689
33 O 0.175 0.048 0.948
34 O 0.175 0.452 0.448
35 O 0.188 0.512 0.236
36 O 0.188 0.988 0.736
37 O 0.200 0.607 0.878
38 O 0.200 0.893 0.378
39 O 0.460 0.223 0.586
40 O 0.460 0.277 0.086
41 O 0.461 0.116 0.352
42 O 0.461 0.384 0.852
43 O 0.539 0.616 0.148
44 O 0.539 0.884 0.648
45 O 0.540 0.723 0.914
46 O 0.540 0.777 0.414
47 O 0.800 0.107 0.622
48 O 0.800 0.393 0.122
49 O 0.812 0.012 0.264
50 O 0.812 0.488 0.764
51 O 0.825 0.548 0.552
52 O 0.825 0.952 0.052
53 O 0.835 0.533 0.311
54 O 0.835 0.967 0.811
55 O 0.882 0.130 0.439
56 O 0.882 0.370 0.939

---

No. 4
A relaxed structure of BaSmCd17, computed with PBE-GGA.

Computed properties:
Volume in Å³ per cell: 457.3
Energy of formation in eV per formula unit: -3.06
Symmetry: R3m (160)
Energy in eV per cell: -25.26

a = 7.768 Å, b = 7.768 Å, c = 7.768 Å
α = 82.41°, β = 82.41°, γ = 82.41°
Positions (direct):
1 Ba 0.000 0.000 0.000
2 Sm 0.665 0.665 0.665
3 Cd 0.036 0.339 0.630
4 Cd 0.036 0.630 0.339
5 Cd 0.201 0.685 0.685
6 Cd 0.243 0.243 0.243
7 Cd 0.322 0.322 0.851
8 Cd 0.322 0.851 0.322
9 Cd 0.339 0.036 0.630
10 Cd 0.339 0.630 0.036
11 Cd 0.442 0.442 0.442
12 Cd 0.523 0.964 0.964
13 Cd 0.630 0.036 0.339
14 Cd 0.630 0.339 0.036
15 Cd 0.685 0.201 0.685
16 Cd 0.685 0.685 0.201
17 Cd 0.851 0.322 0.322
18 Cd 0.964 0.523 0.964
19 Cd 0.964 0.964 0.523